Compound: SmCuHg
Source: Alexandria via LeMat-Bulk
Functional: PBE
Structure: relaxed

Lattice parameters (Å, degrees): 4.681 4.681 3.514 90.00 90.00 120.00
Fractional coordinates of all 3 atoms:
Sm 0.000 0.000 0.000
Cu 0.667 0.333 0.500
Hg 0.333 0.667 0.500

Properties
For the mass density, the calculation gives 10.32 Mg/m³. The calculation puts the total magnetization at 0.00 Bohr magnetons per cell. The calculation puts the final energy at -10.05 eV per cell.

***

Compound: Sm12CuHg6
Source: Alexandria via LeMat-Bulk
Functional: PBE
Structure: relaxed

Lattice parameters (Å, degrees): 8.180 8.180 8.180 90.41 90.41 90.41
Fractional coordinates of all 19 atoms:
Sm 0.039 0.305 0.945
Sm 0.055 0.961 0.695
Sm 0.152 0.375 0.488
Sm 0.305 0.945 0.039
Sm 0.375 0.488 0.152
Sm 0.488 0.152 0.375
Sm 0.512 0.848 0.625
Sm 0.625 0.512 0.848
Sm 0.695 0.055 0.961
Sm 0.848 0.625 0.512
Sm 0.945 0.039 0.305
Sm 0.961 0.695 0.055
Cu 0.500 0.500 0.500
Hg 0.216 0.769 0.380
Hg 0.231 0.620 0.784
Hg 0.380 0.216 0.769
Hg 0.620 0.784 0.231
Hg 0.769 0.380 0.216
Hg 0.784 0.231 0.620

Properties
For the mass density, the calculation gives 9.32 Mg/m³. The calculation puts the total magnetization at 0.00 Bohr magnetons per cell. The calculation puts the final energy at -66.02 eV per cell.

***

Compound: Sm12Cu6Hg
Source: Alexandria via LeMat-Bulk
Functional: PBE
Structure: relaxed

Lattice parameters (Å, degrees): 8.706 8.706 8.706 109.47 109.47 109.47
Fractional coordinates of all 19 atoms:
Sm 0.108 0.297 0.811
Sm 0.189 0.486 0.297
Sm 0.189 0.892 0.703
Sm 0.297 0.189 0.486
Sm 0.297 0.811 0.108
Sm 0.486 0.297 0.189
Sm 0.514 0.703 0.811
Sm 0.703 0.189 0.892
Sm 0.703 0.811 0.514
Sm 0.811 0.108 0.297
Sm 0.811 0.514 0.703
Sm 0.892 0.703 0.189
Cu 0.123 0.500 0.623
Cu 0.377 0.877 0.500
Cu 0.500 0.377 0.877
Cu 0.500 0.623 0.123
Cu 0.623 0.123 0.500
Cu 0.877 0.500 0.377
Hg 0.000 0.000 0.000

Properties
For the mass density, the calculation gives 7.80 Mg/m³. The calculation puts the total magnetization at 0.00 Bohr magnetons per cell. The calculation puts the final energy at -84.14 eV per cell.

***

Compound: SmCuHg
Source: Alexandria via LeMat-Bulk
Functional: PBE
Structure: relaxed

Lattice parameters (Å, degrees): 13.410 3.846 7.674 90.00 90.00 90.00
Fractional coordinates of all 18 atoms:
Sm 0.048 0.000 0.241
Sm 0.250 0.000 0.848
Sm 0.452 0.000 0.241
Sm 0.548 0.000 0.759
Sm 0.750 0.000 0.152
Sm 0.952 0.000 0.759
Cu 0.088 0.500 0.947
Cu 0.250 0.000 0.446
Cu 0.412 0.500 0.947
Cu 0.588 0.500 0.053
Cu 0.750 0.000 0.554
Cu 0.912 0.500 0.053
Hg 0.118 0.500 0.578
Hg 0.250 0.500 0.186
Hg 0.382 0.500 0.578
Hg 0.618 0.500 0.422
Hg 0.750 0.500 0.814
Hg 0.882 0.500 0.422

Properties
For the mass density, the calculation gives 10.43 Mg/m³. The calculation puts the total magnetization at 0.00 Bohr magnetons per cell. The calculation puts the final energy at -60.82 eV per cell.